Entry from the Alexandria database: an optimized crystal structure of TaSbO4 (GGA-PBE).

Values from the calculation:
Space group: Pnna (52)
Electronic total energy in eV per cell: -197.110

a b c (Å): 5.6268 11.9833 5.0238
angles (deg): 90.00 90.00 90.00
Sites, in units of the cell vectors:
Ta 0.1195 0.2500 0.2500
Ta 0.3805 0.7500 0.2500
Ta 0.6195 0.2500 0.7500
Ta 0.8805 0.7500 0.7500
Sb 0.2500 0.0000 0.6948
Sb 0.2500 0.5000 0.8052
Sb 0.7500 0.0000 0.3052
Sb 0.7500 0.5000 0.1948
O 0.0789 0.0948 0.4145
O 0.0789 0.4052 0.0855
O 0.1562 0.6993 0.5082
O 0.1562 0.8007 0.9918
O 0.3438 0.1993 0.9918
O 0.3438 0.3007 0.5082
O 0.4211 0.5948 0.0855
O 0.4211 0.9052 0.4145
O 0.5789 0.0948 0.5855
O 0.5789 0.4052 0.9145
O 0.6562 0.6993 0.4918
O 0.6562 0.8007 0.0082
O 0.8438 0.1993 0.0082
O 0.8438 0.3007 0.4918
O 0.9211 0.5948 0.9145
O 0.9211 0.9052 0.5855



Entry from the Alexandria database: an optimized crystal structure of NdGa2Pd5Pt (GGA-PBE).

Values from the calculation:
Space group: P4/mmm (123)
ΔH_f (0 K) in eV/atom: -0.360
Electronic total energy in eV per cell: -46.066

a b c (Å): 4.7598 4.7598 7.2187
angles (deg): 90.00 90.00 90.00
Sites, in units of the cell vectors:
Nd 0.0000 0.0000 0.0000
Ga 0.5000 0.5000 0.3363
Ga 0.5000 0.5000 0.6637
Pd 0.0000 0.5000 0.2756
Pd 0.0000 0.5000 0.7244
Pd 0.5000 0.0000 0.2756
Pd 0.5000 0.0000 0.7244
Pd 0.5000 0.5000 0.0000
Pt 0.0000 0.0000 0.5000



Entry from the Alexandria database: an optimized crystal structure of Pr8Ge3Te4As (GGA-PBE).

Values from the calculation:
Space group: R-3m (166)
Electronic total energy in eV per cell: -90.284

a b c (Å): 8.9685 8.9685 8.9685
angles (deg): 58.90 58.90 58.90
Sites, in units of the cell vectors:
Pr 0.2395 0.7422 0.7422
Pr 0.2420 0.2420 0.2420
Pr 0.2578 0.2578 0.7605
Pr 0.2578 0.7605 0.2578
Pr 0.7422 0.2395 0.7422
Pr 0.7422 0.7422 0.2395
Pr 0.7580 0.7580 0.7580
Pr 0.7605 0.2578 0.2578
Ge 0.0000 0.0000 0.5000
Ge 0.0000 0.5000 0.0000
Ge 0.5000 0.0000 0.0000
Te 0.0000 0.0000 0.0000
Te 0.0000 0.5000 0.5000
Te 0.5000 0.0000 0.5000
Te 0.5000 0.5000 0.0000
As 0.5000 0.5000 0.5000



Entry from the Alexandria database: an optimized crystal structure of CrFePt2 (GGA-PBE).

Values from the calculation:
Space group: Cm (8)
ΔH_f (0 K) in eV/atom: -0.157
Electronic total energy in eV per cell: -61.594

a b c (Å): 9.0277 2.7569 4.6475
angles (deg): 90.00 101.56 90.00
Sites, in units of the cell vectors:
Cr 0.0000 0.0000 0.0000
Cr 0.5000 0.5000 0.0000
Fe 0.2613 0.0000 0.7397
Fe 0.7613 0.5000 0.7397
Pt 0.0122 0.5000 0.5174
Pt 0.2514 0.5000 0.2248
Pt 0.5122 0.0000 0.5174
Pt 0.7514 0.0000 0.2248



Entry from the Alexandria database: an optimized crystal structure of SrHfNi10 (GGA-PBE).

Values from the calculation:
Space group: Pmmm (47)
ΔH_f (0 K) in eV/atom: -0.154
Electronic total energy in eV per cell: -71.296

a b c (Å): 3.9571 4.8774 8.4826
angles (deg): 90.00 90.00 90.00
Sites, in units of the cell vectors:
Sr 0.0000 0.0000 0.0000
Hf 0.0000 0.5000 0.5000
Ni 0.0000 0.0000 0.3460
Ni 0.0000 0.0000 0.6540
Ni 0.0000 0.5000 0.1874
Ni 0.0000 0.5000 0.8126
Ni 0.5000 0.0000 0.5000
Ni 0.5000 0.2584 0.2651
Ni 0.5000 0.2584 0.7349
Ni 0.5000 0.5000 0.0000
Ni 0.5000 0.7416 0.2651
Ni 0.5000 0.7416 0.7349



Entry from the Alexandria database: an optimized crystal structure of NaTlGeAu (GGA-PBE).

Values from the calculation:
Space group: F-43m (216)
ΔH_f (0 K) in eV/atom: 0.005
Electronic total energy in eV per cell: -46.240

a b c (Å): 7.0595 7.0595 7.0595
angles (deg): 90.00 90.00 90.00
Sites, in units of the cell vectors:
Na 0.0000 0.0000 0.0000
Na 0.0000 0.5000 0.5000
Na 0.5000 0.0000 0.5000
Na 0.5000 0.5000 0.0000
Tl 0.2500 0.2500 0.2500
Tl 0.2500 0.7500 0.7500
Tl 0.7500 0.2500 0.7500
Tl 0.7500 0.7500 0.2500
Ge 0.0000 0.0000 0.5000
Ge 0.0000 0.5000 0.0000
Ge 0.5000 0.0000 0.0000
Ge 0.5000 0.5000 0.5000
Au 0.2500 0.2500 0.7500
Au 0.2500 0.7500 0.2500
Au 0.7500 0.2500 0.2500
Au 0.7500 0.7500 0.7500



Entry from the Alexandria database: an optimized crystal structure of KZn2BIr (GGA-PBE).

Values from the calculation:
Space group: P4/mmm (123)
ΔH_f (0 K) in eV/atom: 2.641
Electronic total energy in eV per cell: -5.980

a b c (Å): 5.5575 5.5575 4.9714
angles (deg): 90.00 90.00 90.00
Sites, in units of the cell vectors:
K 0.0000 0.0000 0.0000
Zn 0.0000 0.5000 0.0000
Zn 0.5000 0.0000 0.0000
B 0.5000 0.5000 0.5000
Ir 0.0000 0.0000 0.5000



Entry from the Alexandria database: an optimized crystal structure of HfAlRh3 (GGA-PBE).

Values from the calculation:
Space group: Pm-3m (221)
ΔH_f (0 K) in eV/atom: 0.675
Electronic total energy in eV per cell: -32.376

a b c (Å): 4.7353 4.7353 4.7353
angles (deg): 90.00 90.00 90.00
Sites, in units of the cell vectors:
Hf 0.0000 0.0000 0.0000
Al 0.5000 0.5000 0.5000
Rh 0.0000 0.0000 0.5000
Rh 0.0000 0.5000 0.0000
Rh 0.5000 0.0000 0.0000



Entry from the Alexandria database: an optimized crystal structure of ThNiBr (GGA-PBE).

Values from the calculation:
Space group: C2/m (12)
Electronic total energy in eV per cell: -69.241

a b c (Å): 6.9746 4.0273 12.4655
angles (deg): 90.00 100.90 90.00
Sites, in units of the cell vectors:
Th 0.1076 0.0000 0.3253
Th 0.3924 0.5000 0.6747
Th 0.6076 0.5000 0.3253
Th 0.8924 0.0000 0.6747
Ni 0.1857 0.0000 0.5562
Ni 0.3143 0.5000 0.4438
Ni 0.6857 0.5000 0.5562
Ni 0.8143 0.0000 0.4438
Br 0.1169 0.5000 0.8458
Br 0.3831 0.0000 0.1542
Br 0.6169 0.0000 0.8458
Br 0.8831 0.5000 0.1542



Entry from the Alexandria database: an optimized crystal structure of CrH3Au (GGA-PBE).

Values from the calculation:
Space group: Pm-3m (221)
Electronic total energy in eV per cell: -20.357

a b c (Å): 3.6812 3.6812 3.6812
angles (deg): 90.00 90.00 90.00
Sites, in units of the cell vectors:
Cr 0.0000 0.0000 0.0000
H 0.0000 0.5000 0.5000
H 0.5000 0.0000 0.5000
H 0.5000 0.5000 0.0000
Au 0.5000 0.5000 0.5000



Entry from the Alexandria database: an optimized crystal structure of NdSm7Ho3 (GGA-PBE).

Values from the calculation:
Space group: P3m1 (156)
ΔH_f (0 K) in eV/atom: 0.190
Electronic total energy in eV per cell: -49.447

a b c (Å): 7.1646 7.1646 8.6586
angles (deg): 90.00 90.00 120.00
Sites, in units of the cell vectors:
Nd 0.0000 0.0000 0.0000
Sm 0.0018 0.5009 0.9879
Sm 0.3317 0.1659 0.3319
Sm 0.3333 0.6667 0.3202
Sm 0.4991 0.5009 0.9879
Sm 0.4991 0.9982 0.9879
Sm 0.8341 0.1659 0.3319
Sm 0.8341 0.6683 0.3319
Ho 0.1669 0.3338 0.6593
Ho 0.1669 0.8331 0.6593
Ho 0.6662 0.8331 0.6593



Entry from the Alexandria database: an optimized crystal structure of NaMgV (GGA-PBE).

Values from the calculation:
Space group: P4/nmm (129)
ΔH_f (0 K) in eV/atom: 0.201
Electronic total energy in eV per cell: -22.859

a b c (Å): 3.2044 3.2044 13.2352
angles (deg): 90.00 90.00 90.00
Sites, in units of the cell vectors:
Na 0.2500 0.2500 0.1157
Na 0.7500 0.7500 0.8843
Mg 0.2500 0.2500 0.6811
Mg 0.7500 0.7500 0.3189
V 0.2500 0.2500 0.4636
V 0.7500 0.7500 0.5364



Entry from the Alexandria database: an optimized crystal structure of Ti2FeOs (GGA-PBE).

Values from the calculation:
Space group: P4/mmm (123)
ΔH_f (0 K) in eV/atom: -0.549
Electronic total energy in eV per cell: -37.677

a b c (Å): 3.0373 3.0373 6.0409
angles (deg): 90.00 90.00 90.00
Sites, in units of the cell vectors:
Ti 0.0000 0.0000 0.2416
Ti 0.0000 0.0000 0.7584
Fe 0.5000 0.5000 0.0000
Os 0.5000 0.5000 0.5000



Entry from the Alexandria database: an optimized crystal structure of In2P (GGA-PBE).

Values from the calculation:
Space group: I4/mcm (140)
ΔH_f (0 K) in eV/atom: 0.179
Electronic total energy in eV per cell: -41.398

a b c (Å): 7.1713 7.1713 5.4743
angles (deg): 90.00 90.00 90.00
Sites, in units of the cell vectors:
In 0.1559 0.3441 0.0000
In 0.1559 0.6559 0.5000
In 0.3441 0.1559 0.5000
In 0.3441 0.8441 0.0000
In 0.6559 0.1559 0.0000
In 0.6559 0.8441 0.5000
In 0.8441 0.3441 0.5000
In 0.8441 0.6559 0.0000
P 0.0000 0.0000 0.2500
P 0.0000 0.0000 0.7500
P 0.5000 0.5000 0.2500
P 0.5000 0.5000 0.7500



Entry from the Alexandria database: an optimized crystal structure of Dy3RhAu2 (GGA-PBE).

Values from the calculation:
Space group: P4/mmm (123)
ΔH_f (0 K) in eV/atom: -0.862
Electronic total energy in eV per cell: -32.884

a b c (Å): 3.5447 3.5447 10.6166
angles (deg): 90.00 90.00 90.00
Sites, in units of the cell vectors:
Dy 0.0000 0.0000 0.0000
Dy 0.0000 0.0000 0.3444
Dy 0.0000 0.0000 0.6556
Rh 0.5000 0.5000 0.5000
Au 0.5000 0.5000 0.1723
Au 0.5000 0.5000 0.8277



Entry from the Alexandria database: an optimized crystal structure of Ba2YW (GGA-PBE).

Values from the calculation:
Space group: Pm (6)
ΔH_f (0 K) in eV/atom: 0.746
Electronic total energy in eV per cell: -20.279

a b c (Å): 3.9233 3.9263 9.6477
angles (deg): 90.00 90.15 90.00
Sites, in units of the cell vectors:
Ba 0.0000 0.0000 0.0000
Ba 0.4984 0.5000 0.3853
Y 0.4974 0.5000 0.7369
W 0.9972 0.0000 0.6212



Entry from the Alexandria database: an optimized crystal structure of KCrAs2 (GGA-PBE).

Values from the calculation:
Space group: Imm2 (44)
ΔH_f (0 K) in eV/atom: -0.074
Electronic total energy in eV per cell: -40.628

a b c (Å): 2.9216 3.6794 16.2782
angles (deg): 90.00 90.00 90.00
Sites, in units of the cell vectors:
K 0.0000 0.0000 0.0000
K 0.5000 0.5000 0.5000
Cr 0.0000 0.5000 0.2662
Cr 0.5000 0.0000 0.7662
As 0.0000 0.0000 0.6444
As 0.0000 0.5000 0.8318
As 0.5000 0.0000 0.3318
As 0.5000 0.5000 0.1444



Entry from the Alexandria database: an optimized crystal structure of LiNiSnPt (GGA-PBE).

Values from the calculation:
Space group: I-4m2 (119)
ΔH_f (0 K) in eV/atom: -0.476
Electronic total energy in eV per cell: -39.285

a b c (Å): 4.0290 4.0290 7.2861
angles (deg): 90.00 90.00 90.00
Sites, in units of the cell vectors:
Li 0.0000 0.0000 0.0000
Li 0.5000 0.5000 0.5000
Ni 0.0000 0.5000 0.2500
Ni 0.5000 0.0000 0.7500
Sn 0.0000 0.0000 0.5000
Sn 0.5000 0.5000 0.0000
Pt 0.0000 0.5000 0.7500
Pt 0.5000 0.0000 0.2500



Entry from the Alexandria database: an optimized crystal structure of PmTmS2O (GGA-PBE).

Values from the calculation:
Space group: P4/nmm (129)
Electronic total energy in eV per cell: -69.902

a b c (Å): 3.9014 3.9014 13.8470
angles (deg): 90.00 90.00 90.00
Sites, in units of the cell vectors:
Pm 0.2500 0.2500 0.0885
Pm 0.7500 0.7500 0.9115
Tm 0.2500 0.2500 0.6204
Tm 0.7500 0.7500 0.3796
S 0.2500 0.2500 0.4105
S 0.2500 0.2500 0.7985
S 0.7500 0.7500 0.2015
S 0.7500 0.7500 0.5895
O 0.2500 0.7500 0.0000
O 0.7500 0.2500 0.0000



Entry from the Alexandria database: an optimized crystal structure of MnMoIr2 (GGA-PBE).

Values from the calculation:
Space group: P4/mmm (123)
ΔH_f (0 K) in eV/atom: -0.253
Electronic total energy in eV per cell: -38.735

a b c (Å): 3.8505 3.8505 3.8152
angles (deg): 90.00 90.00 90.00
Sites, in units of the cell vectors:
Mn 0.0000 0.0000 0.0000
Mo 0.5000 0.5000 0.0000
Ir 0.0000 0.5000 0.5000
Ir 0.5000 0.0000 0.5000



Entry from the Alexandria database: an optimized crystal structure of AcLa2NdTl2 (GGA-PBE).

Values from the calculation:
Space group: Pmc2_1 (26)
ΔH_f (0 K) in eV/atom: -0.265
Electronic total energy in eV per cell: -50.111

a b c (Å): 5.5443 10.1028 7.2854
angles (deg): 90.00 90.00 90.00
Sites, in units of the cell vectors:
Ac 0.0000 0.0377 0.0000
Ac 0.0000 0.9623 0.5000
La 0.0000 0.3358 0.2998
La 0.0000 0.6642 0.7998
La 0.5000 0.4621 0.0140
La 0.5000 0.5379 0.5140
Nd 0.5000 0.1745 0.7136
Nd 0.5000 0.8255 0.2136
Tl 0.0000 0.3416 0.7678
Tl 0.0000 0.6584 0.2678
Tl 0.5000 0.1562 0.2520
Tl 0.5000 0.8438 0.7520



Entry from the Alexandria database: an optimized crystal structure of Sc3PbAu2 (GGA-PBE).

Values from the calculation:
Space group: P4/mmm (123)
ΔH_f (0 K) in eV/atom: -0.635
Electronic total energy in eV per cell: -33.065

a b c (Å): 3.3700 3.3700 11.3147
angles (deg): 90.00 90.00 90.00
Sites, in units of the cell vectors:
Sc 0.0000 0.0000 0.0000
Sc 0.0000 0.0000 0.3052
Sc 0.0000 0.0000 0.6948
Pb 0.5000 0.5000 0.5000
Au 0.5000 0.5000 0.1498
Au 0.5000 0.5000 0.8502



Entry from the Alexandria database: an optimized crystal structure of CaMgPb (GGA-PBE).

Values from the calculation:
Space group: P3m1 (156)
ΔH_f (0 K) in eV/atom: -0.125
Electronic total energy in eV per cell: -7.678

a b c (Å): 3.6946 3.6946 7.7893
angles (deg): 90.00 90.00 120.00
Sites, in units of the cell vectors:
Ca 0.0000 0.0000 0.0000
Mg 0.6667 0.3333 0.3545
Pb 0.3333 0.6667 0.6586



Entry from the Alexandria database: an optimized crystal structure of Li5Ca2Pd (GGA-PBE).

Values from the calculation:
Space group: Cm (8)
ΔH_f (0 K) in eV/atom: -0.145
Electronic total energy in eV per cell: -39.842

a b c (Å): 7.6417 8.3736 7.3130
angles (deg): 90.00 121.17 90.00
Sites, in units of the cell vectors:
Li 0.0000 0.0000 0.0000
Li 0.0244 0.0000 0.6435
Li 0.1575 0.3042 0.8993
Li 0.1575 0.6958 0.8993
Li 0.4114 0.0000 0.9918
Li 0.5000 0.5000 0.0000
Li 0.5244 0.5000 0.6435
Li 0.6575 0.1958 0.8993
Li 0.6575 0.8042 0.8993
Li 0.9114 0.5000 0.9918
Ca 0.1510 0.2512 0.3966
Ca 0.1510 0.7488 0.3966
Ca 0.6510 0.2488 0.3966
Ca 0.6510 0.7512 0.3966
Pd 0.3231 0.5000 0.2378
Pd 0.8231 0.0000 0.2378



Entry from the Alexandria database: an optimized crystal structure of MgPd3 (GGA-PBE).

Values from the calculation:
Space group: I4/mmm (139)
ΔH_f (0 K) in eV/atom: -0.485
Electronic total energy in eV per cell: -76.447

a b c (Å): 3.9707 3.9707 15.8569
angles (deg): 90.00 90.00 90.00
Sites, in units of the cell vectors:
Mg 0.0000 0.0000 0.1238
Mg 0.0000 0.0000 0.8762
Mg 0.5000 0.5000 0.3762
Mg 0.5000 0.5000 0.6238
Pd 0.0000 0.0000 0.3747
Pd 0.0000 0.0000 0.6253
Pd 0.0000 0.5000 0.0000
Pd 0.0000 0.5000 0.2500
Pd 0.0000 0.5000 0.5000
Pd 0.0000 0.5000 0.7500
Pd 0.5000 0.0000 0.0000
Pd 0.5000 0.0000 0.2500
Pd 0.5000 0.0000 0.5000
Pd 0.5000 0.0000 0.7500
Pd 0.5000 0.5000 0.1253
Pd 0.5000 0.5000 0.8747